Here is a geometry-optimized Tm8Sn2Ir3 structure from Alexandria. Energies are from GGA-PBE.

The calculation puts the volume at 685.2 Å³/cell. Its formation energy is -696 meV/atom.

The space group is Cmmm (No. 65) and the conventional cell measures 9.679, 14.715 and 4.811 Å, with angles of 90.00, 90.00 and 90.00 degrees. The distinct sites, in fractional coordinates, are Tm at (0.000, 0.109, 0.000), Tm at (0.000, 0.387, 0.000), Tm at (0.246, 0.388, 0.500), Sn at (0.000, 0.244, 0.500), Ir at (0.000, 0.500, 0.500) and Ir at (0.250, 0.000, 0.000).


Here is a geometry-optimized Tm8SnIr2 structure from Alexandria. Energies are from GGA-PBE.

The calculation puts the volume at 588.9 Å³/cell. Its formation energy is -520 meV/atom.

The space group is C2/m (No. 12) and the conventional cell measures 8.648, 13.001 and 5.395 Å, with angles of 90.00, 103.86 and 90.00 degrees. The distinct sites, in fractional coordinates, are Tm at (0.000, 0.247, 0.000), Tm at (0.112, 0.500, 0.799), Tm at (0.201, 0.130, 0.582), Sn at (0.000, 0.000, 0.000) and Ir at (0.000, 0.311, 0.500).


Here is a geometry-optimized Tm8Sn2Ir3 structure from Alexandria. Energies are from GGA-PBE.

The calculation puts the volume at 764.6 Å³/cell. Its formation energy is -554 meV/atom.

The space group is C2/m (No. 12) and the conventional cell measures 16.035, 7.508 and 6.747 Å, with angles of 90.00, 109.73 and 90.00 degrees. The distinct sites, in fractional coordinates, are Tm at (0.088, 0.000, 0.421), Tm at (0.101, 0.248, 0.906), Tm at (0.141, 0.500, 0.481), Sn at (0.250, 0.000, 0.833), Ir at (0.000, 0.000, 0.000) and Ir at (0.000, 0.302, 0.500).


Here is a geometry-optimized TmSn6Ir structure from Alexandria. Energies are from GGA-PBE.

The calculation puts the volume at 410.5 Å³/cell. Its formation energy is -136 meV/atom.

The space group is C2/m (No. 12) and the conventional cell measures 6.407, 11.053 and 6.365 Å, with angles of 90.00, 114.40 and 90.00 degrees. The distinct sites, in fractional coordinates, are Tm at (0.000, 0.000, 0.000), Sn at (0.050, 0.500, 0.278), Sn at (0.084, 0.223, 0.750) and Ir at (0.000, 0.000, 0.500).


Here is a geometry-optimized Tm7Sn2Ir2 structure from Alexandria. Energies are from GGA-PBE.

The calculation puts the volume at 615.6 Å³/cell. Its formation energy is -570 meV/atom.

The space group is Cmmm (No. 65) and the conventional cell measures 8.229, 10.636 and 7.033 Å, with angles of 90.00, 90.00 and 90.00 degrees. The distinct sites, in fractional coordinates, are Tm at (0.000, 0.000, 0.000), Tm at (0.000, 0.500, 0.235), Tm at (0.250, 0.250, 0.246), Sn at (0.184, 0.000, 0.500) and Ir at (0.000, 0.284, 0.000).


Here is a geometry-optimized Tm6Sn2Ir structure from Alexandria. Energies are from GGA-PBE.

The calculation puts the volume at 606.7 Å³/cell. Its formation energy is -265 meV/atom.

The space group is P4_2/mnm (No. 136) and the conventional cell measures 6.657, 6.657 and 13.693 Å, with angles of 90.00, 90.00 and 90.00 degrees. The distinct sites, in fractional coordinates, are Tm at (0.187, 0.187, 0.147), Tm at (0.213, 0.213, 0.500), Sn at (0.000, 0.000, 0.330) and Ir at (0.000, 0.000, 0.000).


Here is a geometry-optimized Tm2SnIr structure from Alexandria. Energies are from GGA-PBE.

The calculation puts the volume at 91.6 Å³/cell. Its formation energy is -789 meV/atom.

The space group is P4/mmm (No. 123) and the conventional cell measures 3.423, 3.423 and 7.814 Å, with angles of 90.00, 90.00 and 90.00 degrees. The distinct sites, in fractional coordinates, are Tm at (0.000, 0.000, 0.210), Sn at (0.500, 0.500, 0.500) and Ir at (0.500, 0.500, 0.000).


Here is a geometry-optimized Tm6Sn3Ir structure from Alexandria. Energies are from GGA-PBE.

The calculation puts the volume at 564.3 Å³/cell. Its formation energy is -477 meV/atom.

The space group is C2/m (No. 12) and the conventional cell measures 11.127, 7.024 and 7.483 Å, with angles of 90.00, 105.21 and 90.00 degrees. The distinct sites, in fractional coordinates, are Tm at (0.108, 0.243, 0.342), Tm at (0.170, 0.500, 0.857), Sn at (0.000, 0.000, 0.000), Sn at (0.169, 0.000, 0.723) and Ir at (0.000, 0.500, 0.500).


Here is a geometry-optimized Tm3Sn2Ir structure from Alexandria. Energies are from GGA-PBE.

The calculation puts the volume at 609.1 Å³/cell. Its formation energy is -766 meV/atom.

The space group is Pnma (No. 62) and the conventional cell measures 12.247, 4.344 and 11.449 Å, with angles of 90.00, 90.00 and 90.00 degrees. The distinct sites, in fractional coordinates, are Tm at (0.054, 0.250, 0.129), Tm at (0.119, 0.750, 0.543), Tm at (0.247, 0.250, 0.787), Sn at (0.009, 0.250, 0.695), Sn at (0.186, 0.750, 0.998) and Ir at (0.124, 0.250, 0.369).


Here is a geometry-optimized TmSnIr4 structure from Alexandria. Energies are from GGA-PBE.

The calculation puts the volume at 426.1 Å³/cell. Its formation energy is -345 meV/atom.

The space group is F-43m (No. 216) and the conventional cell measures 7.525, 7.525 and 7.525 Å, with angles of 90.00, 90.00 and 90.00 degrees. The distinct sites, in fractional coordinates, are Tm at (0.000, 0.000, 0.000), Sn at (0.250, 0.250, 0.750) and Ir at (0.125, 0.125, 0.375).


Here is a geometry-optimized Tm6SnIr2 structure from Alexandria. Energies are from GGA-PBE.

The calculation puts the volume at 908.2 Å³/cell. Its formation energy is -710 meV/atom.

The space group is Immm (No. 71) and the conventional cell measures 9.276, 9.472 and 10.337 Å, with angles of 90.00, 90.00 and 90.00 degrees. The distinct sites, in fractional coordinates, are Tm at (0.000, 0.208, 0.239), Tm at (0.191, 0.500, 0.167), Tm at (0.212, 0.319, 0.500), Sn at (0.000, 0.000, 0.000), Sn at (0.000, 0.000, 0.500), Ir at (0.000, 0.333, 0.000) and Ir at (0.000, 0.500, 0.367).


Here is a geometry-optimized Tm2SnIr structure from Alexandria. Energies are from GGA-PBE.

The calculation puts the volume at 357.5 Å³/cell. Its formation energy is -638 meV/atom.

The space group is Fm-3m (No. 225) and the conventional cell measures 7.098, 7.098 and 7.098 Å, with angles of 90.00, 90.00 and 90.00 degrees. The distinct sites, in fractional coordinates, are Tm at (0.250, 0.250, 0.250), Sn at (0.000, 0.000, 0.000) and Ir at (0.000, 0.000, 0.500).


Here is a geometry-optimized YTmSnIr structure from Alexandria. Energies are from GGA-PBE.

The calculation puts the volume at 365.8 Å³/cell. Its formation energy is -624 meV/atom.

The space group is F-43m (No. 216) and the conventional cell measures 7.152, 7.152 and 7.152 Å, with angles of 90.00, 90.00 and 90.00 degrees. The distinct sites, in fractional coordinates, are Y at (0.000, 0.000, 0.000), Tm at (0.000, 0.000, 0.500), Sn at (0.250, 0.250, 0.250) and Ir at (0.250, 0.250, 0.750).


Here is a geometry-optimized USnIr structure from Alexandria. Energies are from GGA-PBE.

The calculation puts the volume at 389.0 Å³/cell. Its formation energy is -406 meV/atom.

The space group is Pmma (No. 51) and the conventional cell measures 13.110, 3.954 and 7.504 Å, with angles of 90.00, 90.00 and 90.00 degrees. The distinct sites, in fractional coordinates, are U at (0.047, 0.000, 0.210), U at (0.250, 0.000, 0.836), Sn at (0.116, 0.500, 0.553), Sn at (0.250, 0.500, 0.184), Ir at (0.101, 0.500, 0.919) and Ir at (0.250, 0.000, 0.441).


Here is a geometry-optimized U2SnIr structure from Alexandria. Energies are from GGA-PBE.

The calculation puts the volume at 308.8 Å³/cell. Its formation energy is -51 meV/atom.

The space group is R-3m (No. 166, hexagonal axes) and the conventional cell measures 3.9679, 3.9679 and 22.6446 Å, with angles of 90.00, 90.00 and 120.00 degrees. The distinct sites, in fractional coordinates, are U at (0.0000, 0.0000, 0.2351), Sn at (0.0000, 0.0000, 0.0000) and Ir at (0.0000, 0.0000, 0.5000).


Here is a geometry-optimized USnIr structure from Alexandria. Energies are from GGA-PBE.

The calculation puts the volume at 61.6 Å³/cell. Its formation energy is -280 meV/atom.

The space group is P-6m2 (No. 187) and the conventional cell measures 4.7292, 4.7292 and 3.1826 Å, with angles of 90.00, 90.00 and 120.00 degrees. The distinct sites, in fractional coordinates, are U at (0.0000, 0.0000, 0.0000), Sn at (0.3333, 0.6667, 0.5000) and Ir at (0.6667, 0.3333, 0.5000).


Here is a geometry-optimized U2SnIr structure from Alexandria. Energies are from GGA-PBE.

The calculation puts the volume at 87.9 Å³/cell. Its formation energy is -164 meV/atom.

The space group is P4/mmm (No. 123) and the conventional cell measures 3.868, 3.868 and 5.876 Å, with angles of 90.00, 90.00 and 90.00 degrees. The distinct sites, in fractional coordinates, are U at (0.000, 0.000, 0.228), Sn at (0.500, 0.500, 0.500) and Ir at (0.500, 0.500, 0.000).


Here is a geometry-optimized USnIr2 structure from Alexandria. Energies are from GGA-PBE.

The calculation puts the volume at 74.7 Å³/cell. Its formation energy is -248 meV/atom.

The space group is P4/mmm (No. 123) and the conventional cell measures 3.274, 3.274 and 6.966 Å, with angles of 90.00, 90.00 and 90.00 degrees. The distinct sites, in fractional coordinates, are U at (0.000, 0.000, 0.000), Sn at (0.000, 0.000, 0.500) and Ir at (0.500, 0.500, 0.261).


Here is a geometry-optimized USnIr structure from Alexandria. Energies are from GGA-PBE.

The calculation puts the volume at 190.9 Å³/cell. Its formation energy is -454 meV/atom.

The space group is P-62m (No. 189) and the conventional cell measures 7.3529, 7.3529 and 4.0771 Å, with angles of 90.00, 90.00 and 120.00 degrees. The distinct sites, in fractional coordinates, are U at (0.0000, 0.5839, 0.0000), Sn at (0.0000, 0.2532, 0.5000), Ir at (0.0000, 0.0000, 0.0000) and Ir at (0.3333, 0.6667, 0.5000).


Here is a geometry-optimized USnIr structure from Alexandria. Energies are from GGA-PBE.

The calculation puts the volume at 259.9 Å³/cell. Its formation energy is -211 meV/atom.

The space group is Cmcm (No. 63) and the conventional cell measures 3.227, 16.307 and 4.938 Å, with angles of 90.00, 90.00 and 90.00 degrees. The distinct sites, in fractional coordinates, are U at (0.000, 0.087, 0.250), Sn at (0.000, 0.219, 0.750) and Ir at (0.000, 0.444, 0.250).